1.
The following is a DFT calculation (PBE) of crystalline PrErCuPb at its relaxed geometry.

Structure (POSCAR):
```
PrErCuPb
1.0
0.0000 3.7404 3.7404
3.7404 0.0000 3.7404
3.7404 3.7404 0.0000
Pr Er Cu Pb
1 1 1 1
direct
0.0000 0.0000 0.0000
0.5000 0.5000 0.5000
0.7500 0.7500 0.7500
0.2500 0.2500 0.2500
```

Properties
Symmetry: No. 216
Formation energy from the elements (kJ per mole of atoms): -27.01
DOS(E_F) (states/eV/atom): 1.107

2.
The following is a DFT calculation (PBE) of crystalline ErCuPtPb at its relaxed geometry.

Structure (POSCAR):
```
ErCuPtPb
1.0
0.0000 3.4259 3.4259
3.4259 0.0000 3.4259
3.4259 3.4259 0.0000
Er Cu Pt Pb
1 1 1 1
direct
0.0000 0.0000 0.0000
0.2500 0.2500 0.2500
0.7500 0.7500 0.7500
0.5000 0.5000 0.5000
```

Properties
Symmetry: No. 216
Formation energy from the elements (kJ per mole of atoms): -47.74
DOS(E_F) (states/eV/atom): 0.854

3.
The following is a DFT calculation (PBE) of crystalline ErCuRuPb at its relaxed geometry.

Structure (POSCAR):
```
ErCuRuPb
1.0
0.0000 3.3574 3.3574
3.3574 0.0000 3.3574
3.3574 3.3574 0.0000
Er Cu Ru Pb
1 1 1 1
direct
0.0000 0.0000 0.0000
0.2500 0.2500 0.2500
0.7500 0.7500 0.7500
0.5000 0.5000 0.5000
```

Properties
Symmetry: No. 216
Formation energy from the elements (kJ per mole of atoms): -3.85
DOS(E_F) (states/eV/atom): 0.805

4.
The following is a DFT calculation (PBE) of crystalline ErCuPb2S4 at its relaxed geometry.

Structure (POSCAR):
```
ErCuPb2S4
1.0
6.8199 0.0000 0.0000
0.0000 3.9751 0.0000
-2.3829 0.0000 6.7465
Er Cu Pb S
1 1 2 4
direct
0.0000 0.0000 0.0000
0.5000 0.5000 0.0000
0.0000 0.5000 0.5000
0.5000 0.0000 0.5000
0.2413 0.5000 0.2210
0.2724 0.0000 0.7918
0.7276 0.0000 0.2082
0.7587 0.5000 0.7790
```

Properties
Raw formation energy (eV/atom): -0.816
Symmetry: No. 10

5.
The following is a DFT calculation (PBE) of crystalline ErScCuPb at its relaxed geometry.

Structure (POSCAR):
```
ErScCuPb
1.0
0.0000 3.5620 3.5620
3.5620 0.0000 3.5620
3.5620 3.5620 0.0000
Er Sc Cu Pb
1 1 1 1
direct
0.0000 0.0000 0.0000
0.5000 0.5000 0.5000
0.7500 0.7500 0.7500
0.2500 0.2500 0.2500
```

Properties
Symmetry: No. 216
Formation energy from the elements (kJ per mole of atoms): -25.50
DOS(E_F) (states/eV/atom): 0.956

6.
The following is a DFT calculation (PBE) of crystalline ErZnCuPb at its relaxed geometry.

Structure (POSCAR):
```
ErZnCuPb
1.0
0.0000 3.4596 3.4596
3.4596 0.0000 3.4596
3.4596 3.4596 0.0000
Er Zn Cu Pb
1 1 1 1
direct
0.0000 0.0000 0.0000
0.7500 0.7500 0.7500
0.2500 0.2500 0.2500
0.5000 0.5000 0.5000
```

Properties
Symmetry: No. 216
Formation energy from the elements (kJ per mole of atoms): -12.12
DOS(E_F) (states/eV/atom): 0.466